RbRu3F: relaxed, GGA-PBE.

## Properties
relative energy among the computed polymorphs: 1437 meV/atom
DOS at the Fermi energy: 5.08 states/eV/f.u.
ΔE_f (raw): 2.934 eV per atom
total DFT energy (no corrections): -16.00 eV/f.u.

a b c (Å): 4.9642 4.9642 4.9642
angles (deg): 90.00 90.00 90.00
Last column: nearest neighbours and their distance in Å.
Space group Pm-3m (No. 221)
One atom of each set of equivalent atoms:
Rb (0.0000, 0.0000, 0.0000) (multiplicity 1)  6 Ru 2.48
Ru (0.0000, 0.0000, 0.5000) (multiplicity 3)  2 Rb 2.48
F (0.5000, 0.5000, 0.5000) (multiplicity 1)  12 Ru 3.51